# 1
Compound: ScAl2Co
Source: Alexandria via LeMat-Bulk
Functional: GGA-PBE
Structure: relaxed

The formation energy is -375 meV/atom. The value obtained for the total magnetic moment is 0.2 μB/cell.

It has space group P4mm (No. 99), with a = 3.030 Å, b = 3.030 Å, c = 6.763 Å, α = 90.00°, β = 90.00° and γ = 90.00°. The asymmetric unit holds Sc at (0.000, 0.000, 0.000), Al at (0.000, 0.000, 0.567), Al at (0.500, 0.500, 0.309) and Co at (0.500, 0.500, 0.742).

***

# 2
Compound: Rb2AgPtO4
Source: Alexandria via LeMat-Bulk
Functional: GGA-PBE
Structure: relaxed

The value obtained for the formation energy from raw total energies is -657 meV/atom. The value obtained for the total magnetic moment is 8.7 μB/cell.

It has space group Fddd (No. 70, origin choice 2), with a = 6.068 Å, b = 13.996 Å, c = 20.073 Å, α = 90.00°, β = 90.00° and γ = 90.00°. The asymmetric unit holds Rb at (0.125, 0.125, 0.296), Ag at (0.125, 0.125, 0.125), Pt at (0.125, 0.125, 0.625) and O at (0.124, 0.280, 0.874).

***

Question: Among the records above, which one has the highest total magnetic moment?
Answer: Rb2AgPtO4

***

Question: What is the total magnetic moment in the second record?
Answer: 8.7 μB/cell